Record 1
Here is a geometry-optimized NaSc2Cl structure from Alexandria via LeMat-Bulk. Energies are from PBE.

DFT total energy ... -4.126 eV/atom
Raw formation energy ... -168.4 meV per atom
SG ... I-42d
E above lowest polymorph ... 0.119 eV per atom

Structure (extended XYZ):
```
8
Lattice="-4.173 4.173 2.934 4.173 -4.173 2.934 4.173 4.173 -2.934" Properties=species:S:1:pos:R:3 pbc="T T T"
Na 0.000 0.000 0.000
Na 0.000 4.173 1.467
Sc 2.086 -1.269 2.201
Sc 2.904 2.086 0.734
Sc 2.086 5.442 -0.734
Sc 1.269 2.086 3.668
Cl 4.173 0.000 1.467
Cl 0.000 0.000 2.934
```



Record 2
Here is a geometry-optimized NaScCl3 structure from Alexandria via LeMat-Bulk. Energies are from PBE.

DFT total energy ... -4.446 eV/atom
Raw formation energy ... -1807.9 meV per atom
SG ... P2_1/m
E above lowest polymorph ... 0.000 eV per atom

Structure (extended XYZ):
```
10
Lattice="7.261 0.000 0.000 0.000 3.730 0.000 -2.120 0.000 8.901" Properties=species:S:1:pos:R:3 pbc="T T T"
Na 0.594 0.933 3.935
Na 4.547 2.798 4.966
Sc 0.928 0.933 7.657
Sc 4.212 2.798 1.243
Cl -1.162 0.933 6.133
Cl 1.880 2.798 0.154
Cl 1.861 2.798 5.959
Cl 3.279 0.933 2.942
Cl 3.260 0.933 8.746
Cl 6.303 2.798 2.767
```



Record 3
Here is a geometry-optimized Na3Sc5Cl12 structure from Alexandria via LeMat-Bulk. Energies are from PBE.

DFT total energy ... -4.454 eV/atom
Raw formation energy ... -1565.2 meV per atom
SG ... Ia-3d

Structure (extended XYZ):
```
80
Lattice="-8.125 8.125 8.125 8.125 -8.125 8.125 8.125 8.125 -8.125" Properties=species:S:1:pos:R:3 pbc="T T T"
Na 4.062 2.031 0.000
Na 8.125 4.062 -2.031
Na 2.031 0.000 4.062
Na 10.156 0.000 4.062
Na 0.000 4.062 2.031
Na 4.062 -2.031 8.125
Na 4.062 10.156 0.000
Na 8.125 4.062 6.094
Na -2.031 8.125 4.062
Na 6.094 8.125 4.062
Na 0.000 4.062 10.156
Na 4.062 6.094 8.125
Sc 0.000 0.000 0.000
Sc 4.062 4.062 -4.062
Sc 4.062 -4.062 4.062
Sc 8.125 0.000 0.000
Sc 12.187 2.031 0.000
Sc 8.125 -4.062 6.094
Sc 6.094 8.125 -4.062
Sc 6.094 0.000 4.062
Sc 4.062 6.094 0.000
Sc 8.125 4.062 2.031
Sc -4.062 4.062 4.062
Sc 0.000 8.125 0.000
Sc 0.000 0.000 8.125
Sc 4.062 4.062 4.062
Sc 0.000 4.062 6.094
Sc 4.062 2.031 8.125
Sc 2.031 8.125 4.062
Sc 2.031 0.000 12.187
Sc 0.000 12.187 2.031
Sc -4.062 6.094 8.125
Cl 2.461 -0.333 0.880
Cl 9.726 4.942 -4.395
Cl 10.585 0.333 0.880
Cl 9.726 -3.182 4.395
Cl 7.792 -0.880 2.461
Cl 12.520 -1.602 3.182
Cl 0.880 2.461 -0.333
Cl 11.307 3.730 -1.602
Cl 4.942 4.395 -1.602
Cl 7.245 2.461 0.333
Cl -0.333 0.880 2.461
Cl 4.395 -1.602 4.942
Cl 7.792 7.245 -2.461
Cl 4.395 1.602 3.182
Cl 4.942 -4.395 9.726
Cl 7.245 -2.461 7.792
Cl 3.182 4.395 1.602
Cl 9.005 5.664 0.333
Cl 4.395 9.726 -3.182
Cl 7.792 0.880 5.664
Cl 2.461 7.792 -0.880
Cl 9.726 3.182 3.730
Cl 1.602 3.182 4.395
Cl 2.461 0.333 7.245
Cl 5.664 7.792 0.880
Cl 6.523 4.942 3.730
Cl -1.602 4.942 4.395
Cl 5.664 0.333 9.005
Cl 0.333 7.245 2.461
Cl 3.730 -1.602 11.307
Cl -0.880 2.461 7.792
Cl 4.942 3.730 6.523
Cl 0.880 10.585 0.333
Cl 3.182 12.520 -1.602
Cl 3.730 6.523 4.942
Cl 0.333 0.880 10.585
Cl 3.730 9.726 3.182
Cl 8.457 7.245 5.664
Cl 0.880 5.664 7.792
Cl 3.182 3.730 9.726
Cl -3.182 4.395 9.726
Cl 7.245 5.664 8.457
Cl -4.395 9.726 4.942
Cl 0.333 9.005 5.664
Cl -1.602 11.307 3.730
Cl -2.461 7.792 7.245
Cl -1.602 3.182 12.520
Cl 5.664 8.457 7.245
```



Record 4
Here is a geometry-optimized NaScCl2 structure from Alexandria via LeMat-Bulk. Energies are from PBE.

DFT total energy ... -3.854 eV/atom
Raw formation energy ... -1017.9 meV per atom
SG ... Fm-3m
E above lowest polymorph ... 0.346 eV per atom

Structure (extended XYZ):
```
4
Lattice="0.000 3.433 3.433 3.433 0.000 3.433 3.433 3.433 0.000" Properties=species:S:1:pos:R:3 pbc="T T T"
Na 0.000 0.000 0.000
Sc 3.433 3.433 3.433
Cl 1.716 1.716 1.716
Cl 5.149 5.149 5.149
```



Record 5
Here is a geometry-optimized NaScCl3 structure from Alexandria via LeMat-Bulk. Energies are from PBE.

DFT total energy ... -3.656 eV/atom
Raw formation energy ... -1017.7 meV per atom
SG ... Pm-3m
E above lowest polymorph ... 0.790 eV per atom

Structure (extended XYZ):
```
5
Lattice="4.974 0.000 0.000 0.000 4.974 0.000 0.000 0.000 4.974" Properties=species:S:1:pos:R:3 pbc="T T T"
Na 0.000 0.000 0.000
Sc 2.487 2.487 2.487
Cl 0.000 0.000 2.487
Cl 0.000 2.487 0.000
Cl 2.487 0.000 0.000
```



Record 6
Here is a geometry-optimized Na3ScCl structure from Alexandria via LeMat-Bulk. Energies are from PBE.

DFT total energy ... -2.561 eV/atom
Raw formation energy ... -134.2 meV per atom
SG ... Pm-3m
E above lowest polymorph ... 0.000 eV per atom

Structure (extended XYZ):
```
5
Lattice="5.451 0.000 0.000 0.000 5.451 0.000 0.000 0.000 5.451" Properties=species:S:1:pos:R:3 pbc="T T T"
Na 0.000 0.000 2.726
Na 0.000 2.726 0.000
Na 2.726 0.000 0.000
Sc 2.726 2.726 2.726
Cl 0.000 0.000 0.000
```



Record 7
Here is a geometry-optimized Na2ScCl structure from Alexandria via LeMat-Bulk. Energies are from PBE.

DFT total energy ... -2.957 eV/atom
Raw formation energy ... -253.3 meV per atom
SG ... I-42d
E above lowest polymorph ... 0.000 eV per atom

Structure (extended XYZ):
```
8
Lattice="-4.685 4.685 2.612 4.685 -4.685 2.612 4.685 4.685 -2.612" Properties=species:S:1:pos:R:3 pbc="T T T"
Na 2.343 1.551 -0.653
Na 3.135 -2.343 3.266
Na 2.343 3.135 1.959
Na 1.551 7.028 0.653
Sc 4.685 0.000 1.306
Sc 0.000 0.000 2.612
Cl 0.000 0.000 0.000
Cl 0.000 4.685 1.306
```



Record 8
Here is a geometry-optimized NaScCl4 structure from Alexandria via LeMat-Bulk. Energies are from PBE.

DFT total energy ... -4.502 eV/atom
Raw formation energy ... -1996.1 meV per atom
SG ... C2/m
E above lowest polymorph ... 0.021 eV per atom

Structure (extended XYZ):
```
6
Lattice="6.501 -1.901 0.000 6.501 1.901 0.000 -1.359 0.000 6.952" Properties=species:S:1:pos:R:3 pbc="T T T"
Na 0.000 0.000 0.000
Sc 5.822 0.000 3.476
Cl 0.902 0.000 2.807
Cl 4.896 0.000 1.208
Cl 6.749 0.000 5.745
Cl 10.742 0.000 4.145
```



Which value of raw formation energy does entry 1 give? -168.4 meV per atom



Please write out number 3 again, unchanged.
Here is a geometry-optimized Na3Sc5Cl12 structure from Alexandria via LeMat-Bulk. Energies are from PBE.

DFT total energy ... -4.454 eV/atom
Raw formation energy ... -1565.2 meV per atom
SG ... Ia-3d

Structure (extended XYZ):
```
80
Lattice="-8.125 8.125 8.125 8.125 -8.125 8.125 8.125 8.125 -8.125" Properties=species:S:1:pos:R:3 pbc="T T T"
Na 4.062 2.031 0.000
Na 8.125 4.062 -2.031
Na 2.031 0.000 4.062
Na 10.156 0.000 4.062
Na 0.000 4.062 2.031
Na 4.062 -2.031 8.125
Na 4.062 10.156 0.000
Na 8.125 4.062 6.094
Na -2.031 8.125 4.062
Na 6.094 8.125 4.062
Na 0.000 4.062 10.156
Na 4.062 6.094 8.125
Sc 0.000 0.000 0.000
Sc 4.062 4.062 -4.062
Sc 4.062 -4.062 4.062
Sc 8.125 0.000 0.000
Sc 12.187 2.031 0.000
Sc 8.125 -4.062 6.094
Sc 6.094 8.125 -4.062
Sc 6.094 0.000 4.062
Sc 4.062 6.094 0.000
Sc 8.125 4.062 2.031
Sc -4.062 4.062 4.062
Sc 0.000 8.125 0.000
Sc 0.000 0.000 8.125
Sc 4.062 4.062 4.062
Sc 0.000 4.062 6.094
Sc 4.062 2.031 8.125
Sc 2.031 8.125 4.062
Sc 2.031 0.000 12.187
Sc 0.000 12.187 2.031
Sc -4.062 6.094 8.125
Cl 2.461 -0.333 0.880
Cl 9.726 4.942 -4.395
Cl 10.585 0.333 0.880
Cl 9.726 -3.182 4.395
Cl 7.792 -0.880 2.461
Cl 12.520 -1.602 3.182
Cl 0.880 2.461 -0.333
Cl 11.307 3.730 -1.602
Cl 4.942 4.395 -1.602
Cl 7.245 2.461 0.333
Cl -0.333 0.880 2.461
Cl 4.395 -1.602 4.942
Cl 7.792 7.245 -2.461
Cl 4.395 1.602 3.182
Cl 4.942 -4.395 9.726
Cl 7.245 -2.461 7.792
Cl 3.182 4.395 1.602
Cl 9.005 5.664 0.333
Cl 4.395 9.726 -3.182
Cl 7.792 0.880 5.664
Cl 2.461 7.792 -0.880
Cl 9.726 3.182 3.730
Cl 1.602 3.182 4.395
Cl 2.461 0.333 7.245
Cl 5.664 7.792 0.880
Cl 6.523 4.942 3.730
Cl -1.602 4.942 4.395
Cl 5.664 0.333 9.005
Cl 0.333 7.245 2.461
Cl 3.730 -1.602 11.307
Cl -0.880 2.461 7.792
Cl 4.942 3.730 6.523
Cl 0.880 10.585 0.333
Cl 3.182 12.520 -1.602
Cl 3.730 6.523 4.942
Cl 0.333 0.880 10.585
Cl 3.730 9.726 3.182
Cl 8.457 7.245 5.664
Cl 0.880 5.664 7.792
Cl 3.182 3.730 9.726
Cl -3.182 4.395 9.726
Cl 7.245 5.664 8.457
Cl -4.395 9.726 4.942
Cl 0.333 9.005 5.664
Cl -1.602 11.307 3.730
Cl -2.461 7.792 7.245
Cl -1.602 3.182 12.520
Cl 5.664 8.457 7.245
```